(1)
{
  "formula": "MnAl4",
  "functional": "SCAN",
  "state": "PBEsol geometry",
  "cell": [[-3.177, 1.697, -0.439], [-1.833, -0.679, -4.349], [-3.704, -2.738, 1.232]],
  "species": ["Mn", "Al", "Al", "Al", "Al"],
  "frac_coords": [[0.000, 0.000, 0.000], [0.604, 0.188, 0.604], [0.792, 0.604, 0.812], [0.396, 0.812, 0.396], [0.208, 0.396, 0.188]],
  "polymorph_energy_ev_per_fu": 0.00,
  "delta_e_f_ev_per_atom": -0.1775,
  "energy_ev_per_atom": -10.03
}

---

(2)
{
  "formula": "YTa2Tc",
  "functional": "SCAN",
  "state": "PBEsol geometry",
  "cell": [[-1.789, -1.460, -2.204], [0.863, -2.837, 1.179], [-5.820, 0.151, 4.624]],
  "species": ["Ta", "Ta", "Tc", "Y"],
  "frac_coords": [[0.000, 0.000, 0.035], [0.500, 0.500, 0.274], [0.000, 0.000, 0.461], [0.500, 0.500, 0.729]],
  "polymorph_energy_ev_per_fu": 0.00,
  "delta_e_f_ev_per_atom": 0.0298,
  "energy_ev_per_atom": -48.99
}

---

(3)
{
  "formula": "CoMoRh2",
  "functional": "SCAN",
  "state": "PBEsol geometry",
  "cell": [[-1.784, 3.249, -0.122], [-3.215, -1.790, -0.643], [-0.622, -0.203, 3.677]],
  "species": ["Rh", "Rh", "Mo", "Co"],
  "frac_coords": [[0.000, 0.000, 0.500], [0.000, 0.500, 0.000], [0.500, 0.000, 0.000], [0.500, 0.500, 0.500]],
  "polymorph_energy_ev_per_fu": 0.28,
  "delta_e_f_ev_per_atom": -0.0686,
  "energy_ev_per_atom": -30.00
}

---

(4)
{
  "formula": "ZrZn2",
  "functional": "SCAN",
  "state": "PBEsol geometry",
  "cell": [[4.006, 0.000, 0.000], [0.000, 4.006, 0.000], [-2.003, -2.003, 12.406]],
  "species": ["Zn", "Zn", "Zn", "Zn", "Zn", "Zn", "Zn", "Zn", "Zr", "Zr", "Zr", "Zr"],
  "frac_coords": [[0.750, 0.750, 0.500], [0.250, 0.250, 0.500], [0.000, 0.500, 0.000], [0.500, 0.000, 0.000], [0.580, 0.580, 0.160], [0.420, 0.420, 0.840], [0.830, 0.330, 0.660], [0.670, 0.170, 0.340], [0.919, 0.919, 0.838], [0.081, 0.081, 0.162], [0.169, 0.669, 0.338], [0.331, 0.831, 0.662]],
  "delta_e_f_ev_per_atom": -0.2805,
  "energy_ev_per_atom": -19.52
}

---

(5)
{
  "formula": "Zr2SiPt",
  "functional": "SCAN",
  "state": "PBEsol geometry",
  "cell": [[3.671, 0.000, 0.000], [0.000, 3.892, 0.000], [-1.835, 0.000, 5.115]],
  "species": ["Si", "Zr", "Zr", "Pt"],
  "frac_coords": [[0.544, 0.500, 0.088], [0.979, 0.000, 0.958], [0.277, 0.500, 0.554], [0.700, 0.000, 0.400]],
  "e_form_raw_ev_per_atom": -1.1264,
  "energy_ev_per_atom": -36.53
}

---

(6)
{
  "formula": "CsYMo2O8",
  "functional": "SCAN",
  "state": "PBEsol geometry",
  "cell": [[5.976, 0.000, 0.000], [-2.988, 5.176, 0.000], [0.000, 0.000, 8.112]],
  "species": ["Cs", "Y", "Mo", "Mo", "O", "O", "O", "O", "O", "O", "O", "O"],
  "frac_coords": [[0.000, 0.000, 0.500], [0.000, 0.000, 0.000], [0.667, 0.333, 0.237], [0.333, 0.667, 0.763], [0.829, 0.171, 0.168], [0.829, 0.659, 0.168], [0.341, 0.171, 0.168], [0.659, 0.829, 0.832], [0.333, 0.667, 0.551], [0.667, 0.333, 0.449], [0.171, 0.829, 0.832], [0.171, 0.341, 0.832]],
  "e_form_raw_ev_per_atom": -2.6460,
  "energy_ev_per_atom": -18.09
}

---

(7)
{
  "formula": "MnCdP2",
  "functional": "SCAN",
  "state": "PBEsol geometry",
  "cell": [[-0.023, 2.009, -2.384], [-1.629, -0.656, -2.576], [-6.467, 3.809, 1.233]],
  "species": ["Cd", "Mn", "P", "P"],
  "frac_coords": [[0.500, 0.500, 0.499], [0.264, 0.264, 0.209], [0.002, 0.002, 0.993], [0.734, 0.734, 0.799]],
  "delta_e_f_ev_per_atom": 0.1447,
  "energy_ev_per_atom": -17.22
}

---

(8)
{
  "formula": "PaPt3",
  "functional": "SCAN",
  "state": "PBEsol geometry",
  "cell": [[5.014, 0.000, 0.000], [0.000, 5.682, 0.000], [0.000, -2.841, 4.921]],
  "species": ["Pa", "Pa", "Pt", "Pt", "Pt", "Pt", "Pt", "Pt"],
  "frac_coords": [[0.250, 0.667, 0.333], [0.750, 0.333, 0.667], [0.750, 0.835, 0.165], [0.750, 0.835, 0.670], [0.750, 0.330, 0.165], [0.250, 0.165, 0.835], [0.250, 0.165, 0.330], [0.250, 0.670, 0.835]],
  "delta_e_f_ev_per_atom": -1.0996,
  "energy_ev_per_atom": -78.66
}